Entry 1:
# LiCd2PbO4 | Alexandria via LeMat-Bulk | PBE-GGA | optimized geometry
data_LiCd2PbO4
_cell_length_a 5.714
_cell_length_b 3.435
_cell_length_c 5.781
_cell_angle_alpha 90.00
_cell_angle_beta 107.37
_cell_angle_gamma 90.00
_space_group_name_H-M_alt 'P 1'
_space_group_IT_number 1
loop_
_space_group_symop_operation_xyz
'x,y,z'
loop_
_atom_site_label
_atom_site_fract_x
_atom_site_fract_y
_atom_site_fract_z
Li1 0.000 0.000 0.000
Cd1 0.000 0.500 0.500
Cd2 0.500 0.000 0.500
Pb1 0.500 0.500 0.000
O1 0.237 0.000 0.759
O2 0.257 0.500 0.259
O3 0.743 0.500 0.741
O4 0.763 0.000 0.241
# Symmetry = P2/m



Entry 2:
# Na8TlIn2 | Alexandria via LeMat-Bulk | PBE-GGA | optimized geometry
data_Na8TlIn2
_cell_length_a 8.404
_cell_length_b 8.404
_cell_length_c 5.948
_cell_angle_alpha 100.94
_cell_angle_beta 100.94
_cell_angle_gamma 85.00
_space_group_name_H-M_alt 'P 1'
_space_group_IT_number 1
loop_
_space_group_symop_operation_xyz
'x,y,z'
loop_
_atom_site_label
_atom_site_fract_x
_atom_site_fract_y
_atom_site_fract_z
Na1 0.152 0.671 0.709
Na2 0.261 0.261 0.607
Na3 0.329 0.848 0.291
Na4 0.404 0.404 0.193
Na5 0.596 0.596 0.807
Na6 0.671 0.152 0.709
Na7 0.739 0.739 0.393
Na8 0.848 0.329 0.291
Tl1 0.000 0.000 0.500
In1 0.126 0.126 0.018
In2 0.874 0.874 0.982
# Energy of formation from the pure elements = 44 meV/atom
# Symmetry = C2/m



no.,raw total energy (eV/cell)
1,-36.15
2,-17.91